[1]
{
  "formula": "Na3CeMg2Se6",
  "functional": "PBE",
  "state": "optimized geometry",
  "cell": [[3.4706, -6.0082, 0.0000], [3.4706, 6.0082, 0.0000], [-2.3156, 0.0000, 7.0750]],
  "species": ["Na", "Na", "Na", "Ce", "Mg", "Mg", "Se", "Se", "Se", "Se", "Se", "Se"],
  "fractional_positions": [[0.0000, 0.0000, 0.0000], [0.3355, 0.6645, 0.0000], [0.6645, 0.3355, 0.0000], [0.5000, 0.5000, 0.5000], [0.1664, 0.8336, 0.5000], [0.8336, 0.1664, 0.5000], [0.0826, 0.4252, 0.2754], [0.2324, 0.2324, 0.7243], [0.4252, 0.0826, 0.2754], [0.5748, 0.9174, 0.7246], [0.7676, 0.7676, 0.2757], [0.9174, 0.5748, 0.7246]],
  "dft_energy_ev_per_atom": -4.049,
  "spacegroup": "C2/m, No. 12"
}

=====

[2]
{
  "formula": "NaCe2MgSe4",
  "functional": "PBE",
  "state": "optimized geometry",
  "cell": [[7.1943, 0.0000, 0.0000], [0.0000, 4.1390, 0.0000], [-2.3640, 0.0000, 6.8463]],
  "species": ["Na", "Ce", "Ce", "Mg", "Se", "Se", "Se", "Se"],
  "fractional_positions": [[0.0000, 0.0000, 0.0000], [0.5000, 0.0000, 0.5000], [0.5000, 0.5000, 0.0000], [0.0000, 0.5000, 0.5000], [0.2306, 0.0000, 0.7342], [0.2415, 0.5000, 0.2581], [0.7585, 0.5000, 0.7419], [0.7694, 0.0000, 0.2658]],
  "dft_energy_ev_per_atom": -5.074,
  "spacegroup": "P2/m, No. 10"
}

=====

[3]
{
  "formula": "NaCeMgSn",
  "functional": "PBE",
  "state": "optimized geometry",
  "cell": [[7.5882, 0.0000, 0.0000], [0.0000, 7.5882, 0.0000], [0.0000, 0.0000, 7.5882]],
  "species": ["Na", "Na", "Na", "Na", "Ce", "Ce", "Ce", "Ce", "Mg", "Mg", "Mg", "Mg", "Sn", "Sn", "Sn", "Sn"],
  "fractional_positions": [[0.0000, 0.0000, 0.0000], [0.0000, 0.5000, 0.5000], [0.5000, 0.0000, 0.5000], [0.5000, 0.5000, 0.0000], [0.0000, 0.0000, 0.5000], [0.0000, 0.5000, 0.0000], [0.5000, 0.0000, 0.0000], [0.5000, 0.5000, 0.5000], [0.2500, 0.2500, 0.7500], [0.2500, 0.7500, 0.2500], [0.7500, 0.2500, 0.2500], [0.7500, 0.7500, 0.7500], [0.2500, 0.2500, 0.2500], [0.2500, 0.7500, 0.7500], [0.7500, 0.2500, 0.7500], [0.7500, 0.7500, 0.2500]],
  "spacegroup": "F-43m, No. 216",
  "e_form_ev_per_atom": -0.178
}

=====

[4]
{
  "formula": "Na4Ce3MgTe8",
  "functional": "PBE",
  "state": "optimized geometry",
  "cell": [[7.6925, -4.4427, 0.0000], [7.6925, 4.4427, 0.0000], [-0.0095, 0.0000, 7.7780]],
  "species": ["Na", "Na", "Na", "Na", "Ce", "Ce", "Ce", "Mg", "Te", "Te", "Te", "Te", "Te", "Te", "Te", "Te"],
  "fractional_positions": [[0.0000, 0.0000, 0.0000], [0.0000, 0.5000, 0.0000], [0.5000, 0.0000, 0.0000], [0.5000, 0.5000, 0.0000], [0.0000, 0.0000, 0.5000], [0.0000, 0.5000, 0.5000], [0.5000, 0.0000, 0.5000], [0.5000, 0.5000, 0.5000], [0.1656, 0.1656, 0.2609], [0.1736, 0.6630, 0.2702], [0.3370, 0.3370, 0.7297], [0.3370, 0.8264, 0.7298], [0.6630, 0.1736, 0.2702], [0.6630, 0.6630, 0.2703], [0.8264, 0.3370, 0.7298], [0.8344, 0.8344, 0.7391]],
  "dft_energy_ev_per_atom": -4.271,
  "spacegroup": "C2/m, No. 12"
}

=====

[5]
{
  "formula": "Na2CeMgTe4",
  "functional": "PBE",
  "state": "optimized geometry",
  "cell": [[7.5499, 0.0000, 0.0000], [0.0000, 4.4413, 0.0000], [-2.5809, 0.0000, 7.5037]],
  "species": ["Na", "Na", "Ce", "Mg", "Te", "Te", "Te", "Te"],
  "fractional_positions": [[0.0000, 0.0000, 0.0000], [0.5000, 0.5000, 0.0000], [0.0000, 0.5000, 0.5000], [0.5000, 0.0000, 0.5000], [0.2475, 0.0000, 0.7339], [0.2664, 0.5000, 0.2784], [0.7336, 0.5000, 0.7216], [0.7525, 0.0000, 0.2661]],
  "dft_energy_ev_per_atom": -3.871,
  "spacegroup": "P2/m, No. 10"
}

=====

[6]
{
  "formula": "CeMgNb",
  "functional": "PBE",
  "state": "optimized geometry",
  "cell": [[3.1880, 0.0000, 0.0000], [0.0000, 5.4590, 0.0000], [-1.0267, 0.0000, 8.0062]],
  "species": ["Ce", "Ce", "Mg", "Mg", "Nb", "Nb"],
  "fractional_positions": [[0.0845, 0.2500, 0.2632], [0.9155, 0.7500, 0.7368], [0.4745, 0.2500, 0.8818], [0.5255, 0.7500, 0.1182], [0.1171, 0.7500, 0.4538], [0.8829, 0.2500, 0.5462]],
  "spacegroup": "P2_1/m, No. 11",
  "e_form_ev_per_atom": 0.180
}

=====

[7]
{
  "formula": "Ce2MgNb",
  "functional": "PBE",
  "state": "optimized geometry",
  "cell": [[3.0382, 0.0000, 0.0000], [-1.5191, 2.6311, 0.0000], [0.0000, 0.0000, 35.1655]],
  "species": ["Ce", "Ce", "Ce", "Ce", "Ce", "Ce", "Mg", "Mg", "Mg", "Nb", "Nb", "Nb"],
  "fractional_positions": [[0.0000, 0.0000, 0.0811], [0.0000, 0.0000, 0.9189], [0.3333, 0.6667, 0.5856], [0.3333, 0.6667, 0.7478], [0.6667, 0.3333, 0.2522], [0.6667, 0.3333, 0.4144], [0.0000, 0.0000, 0.5000], [0.3333, 0.6667, 0.1667], [0.6667, 0.3333, 0.8333], [0.0000, 0.0000, 0.0000], [0.3333, 0.6667, 0.6667], [0.6667, 0.3333, 0.3333]],
  "spacegroup": "R-3m, No. 166",
  "e_form_ev_per_atom": 0.317
}

=====

[8]
{
  "formula": "CeNd2Mg6",
  "functional": "PBE",
  "state": "optimized geometry",
  "cell": [[9.2067, 0.0000, 0.0000], [-4.6033, 7.9732, 0.0000], [0.0000, 0.0000, 3.2903]],
  "species": ["Ce", "Nd", "Nd", "Mg", "Mg", "Mg", "Mg", "Mg", "Mg"],
  "fractional_positions": [[0.0000, 0.0000, 0.0000], [0.3333, 0.6667, 0.0000], [0.6667, 0.3333, 0.0000], [0.0000, 0.3326, 0.5000], [0.0000, 0.6674, 0.5000], [0.3326, 0.0000, 0.5000], [0.3326, 0.3326, 0.5000], [0.6674, 0.0000, 0.5000], [0.6674, 0.6674, 0.5000]],
  "spacegroup": "P6/mmm, No. 191",
  "e_form_ev_per_atom": -0.067
}

=====

[9]
{
  "formula": "CeNd4Mg3",
  "functional": "PBE",
  "state": "optimized geometry",
  "cell": [[3.7651, 0.0000, 0.0000], [0.0000, 3.7651, 0.0000], [0.0000, 0.0000, 16.9960]],
  "species": ["Ce", "Nd", "Nd", "Nd", "Nd", "Mg", "Mg", "Mg"],
  "fractional_positions": [[0.0000, 0.0000, 0.0000], [0.5000, 0.5000, 0.1378], [0.5000, 0.5000, 0.3829], [0.5000, 0.5000, 0.6171], [0.5000, 0.5000, 0.8622], [0.0000, 0.0000, 0.2606], [0.0000, 0.0000, 0.5000], [0.0000, 0.0000, 0.7393]],
  "spacegroup": "P4/mmm, No. 123",
  "e_form_ev_per_atom": -0.043
}

=====

[10]
{
  "formula": "CeNdMg",
  "functional": "PBE",
  "state": "optimized geometry",
  "cell": [[5.5266, 0.0000, 0.0000], [-2.7633, 4.7862, 0.0000], [0.0000, 0.0000, 3.3202]],
  "species": ["Ce", "Nd", "Mg"],
  "fractional_positions": [[0.0000, 0.0000, 0.0000], [0.6667, 0.3333, 0.5898], [0.3333, 0.6667, 0.3221]],
  "relative_energy_mev_per_atom": 49,
  "spacegroup": "P3m1, No. 156",
  "e_form_ev_per_atom": 0.095
}

=====

[11]
{
  "formula": "CeNdMg",
  "functional": "PBE",
  "state": "optimized geometry",
  "cell": [[3.4387, 0.0000, 0.0000], [0.0000, 3.4387, 0.0000], [0.0000, 0.0000, 15.1129]],
  "species": ["Ce", "Ce", "Nd", "Nd", "Mg", "Mg"],
  "fractional_positions": [[0.0000, 0.0000, 0.0000], [0.5000, 0.5000, 0.5000], [0.0000, 0.0000, 0.6778], [0.5000, 0.5000, 0.1778], [0.0000, 0.0000, 0.3403], [0.5000, 0.5000, 0.8403]],
  "relative_energy_mev_per_atom": 0,
  "spacegroup": "I4mm, No. 107",
  "e_form_ev_per_atom": 0.046
}

=====

[12]
{
  "formula": "CeNd14Mg",
  "functional": "PBE",
  "state": "optimized geometry",
  "cell": [[7.2705, 0.0000, 0.0000], [0.0000, 7.2705, 0.0000], [0.0000, 0.0000, 10.3440]],
  "species": ["Ce", "Nd", "Nd", "Nd", "Nd", "Nd", "Nd", "Nd", "Nd", "Nd", "Nd", "Nd", "Nd", "Nd", "Nd", "Mg"],
  "fractional_positions": [[0.0000, 0.0000, 0.0000], [0.0000, 0.0000, 0.5000], [0.0000, 0.5000, 0.0000], [0.0000, 0.5000, 0.5000], [0.2494, 0.2494, 0.2455], [0.2494, 0.2494, 0.7545], [0.2494, 0.7506, 0.2455], [0.2494, 0.7506, 0.7545], [0.5000, 0.0000, 0.0000], [0.5000, 0.0000, 0.5000], [0.5000, 0.5000, 0.5000], [0.7506, 0.2494, 0.2455], [0.7506, 0.2494, 0.7545], [0.7506, 0.7506, 0.2455], [0.7506, 0.7506, 0.7545], [0.5000, 0.5000, 0.0000]],
  "spacegroup": "P4/mmm, No. 123",
  "e_form_ev_per_atom": 0.023
}

=====

[13]
{
  "formula": "CeNdMgOs",
  "functional": "PBE",
  "state": "optimized geometry",
  "cell": [[7.2263, 0.0000, 0.0000], [0.0000, 7.2263, 0.0000], [0.0000, 0.0000, 7.2263]],
  "species": ["Ce", "Ce", "Ce", "Ce", "Nd", "Nd", "Nd", "Nd", "Mg", "Mg", "Mg", "Mg", "Os", "Os", "Os", "Os"],
  "fractional_positions": [[0.0000, 0.0000, 0.0000], [0.0000, 0.5000, 0.5000], [0.5000, 0.0000, 0.5000], [0.5000, 0.5000, 0.0000], [0.0000, 0.0000, 0.5000], [0.0000, 0.5000, 0.0000], [0.5000, 0.0000, 0.0000], [0.5000, 0.5000, 0.5000], [0.2500, 0.2500, 0.2500], [0.2500, 0.7500, 0.7500], [0.7500, 0.2500, 0.7500], [0.7500, 0.7500, 0.2500], [0.2500, 0.2500, 0.7500], [0.2500, 0.7500, 0.2500], [0.7500, 0.2500, 0.2500], [0.7500, 0.7500, 0.7500]],
  "spacegroup": "F-43m, No. 216",
  "e_form_ev_per_atom": 0.019
}

=====

[14]
{
  "formula": "CeNdMgPa",
  "functional": "PBE",
  "state": "optimized geometry",
  "cell": [[7.6596, 0.0000, 0.0000], [0.0000, 7.6596, 0.0000], [0.0000, 0.0000, 7.6596]],
  "species": ["Ce", "Ce", "Ce", "Ce", "Nd", "Nd", "Nd", "Nd", "Mg", "Mg", "Mg", "Mg", "Pa", "Pa", "Pa", "Pa"],
  "fractional_positions": [[0.0000, 0.0000, 0.0000], [0.0000, 0.5000, 0.5000], [0.5000, 0.0000, 0.5000], [0.5000, 0.5000, 0.0000], [0.0000, 0.0000, 0.5000], [0.0000, 0.5000, 0.0000], [0.5000, 0.0000, 0.0000], [0.5000, 0.5000, 0.5000], [0.2500, 0.2500, 0.2500], [0.2500, 0.7500, 0.7500], [0.7500, 0.2500, 0.7500], [0.7500, 0.7500, 0.2500], [0.2500, 0.2500, 0.7500], [0.2500, 0.7500, 0.2500], [0.7500, 0.2500, 0.2500], [0.7500, 0.7500, 0.7500]],
  "spacegroup": "F-43m, No. 216",
  "e_form_ev_per_atom": 0.326
}

=====

[15]
{
  "formula": "CePmNdMg",
  "functional": "PBE",
  "state": "optimized geometry",
  "cell": [[7.9088, 0.0000, 0.0000], [0.0000, 7.9088, 0.0000], [0.0000, 0.0000, 7.9088]],
  "species": ["Ce", "Ce", "Ce", "Ce", "Pm", "Pm", "Pm", "Pm", "Nd", "Nd", "Nd", "Nd", "Mg", "Mg", "Mg", "Mg"],
  "fractional_positions": [[0.0000, 0.0000, 0.0000], [0.0000, 0.5000, 0.5000], [0.5000, 0.0000, 0.5000], [0.5000, 0.5000, 0.0000], [0.2500, 0.2500, 0.2500], [0.2500, 0.7500, 0.7500], [0.7500, 0.2500, 0.7500], [0.7500, 0.7500, 0.2500], [0.2500, 0.2500, 0.7500], [0.2500, 0.7500, 0.2500], [0.7500, 0.2500, 0.2500], [0.7500, 0.7500, 0.7500], [0.0000, 0.0000, 0.5000], [0.0000, 0.5000, 0.0000], [0.5000, 0.0000, 0.0000], [0.5000, 0.5000, 0.5000]],
  "spacegroup": "F-43m, No. 216",
  "e_form_ev_per_atom": 0.134
}

=====

[16]
{
  "formula": "CePrNdMg",
  "functional": "PBE",
  "state": "optimized geometry",
  "cell": [[7.9468, 0.0000, 0.0000], [0.0000, 7.9468, 0.0000], [0.0000, 0.0000, 7.9468]],
  "species": ["Ce", "Ce", "Ce", "Ce", "Pr", "Pr", "Pr", "Pr", "Nd", "Nd", "Nd", "Nd", "Mg", "Mg", "Mg", "Mg"],
  "fractional_positions": [[0.0000, 0.0000, 0.0000], [0.0000, 0.5000, 0.5000], [0.5000, 0.0000, 0.5000], [0.5000, 0.5000, 0.0000], [0.2500, 0.2500, 0.2500], [0.2500, 0.7500, 0.7500], [0.7500, 0.2500, 0.7500], [0.7500, 0.7500, 0.2500], [0.2500, 0.2500, 0.7500], [0.2500, 0.7500, 0.2500], [0.7500, 0.2500, 0.2500], [0.7500, 0.7500, 0.7500], [0.0000, 0.0000, 0.5000], [0.0000, 0.5000, 0.0000], [0.5000, 0.0000, 0.0000], [0.5000, 0.5000, 0.5000]],
  "spacegroup": "F-43m, No. 216",
  "e_form_ev_per_atom": 0.131
}

=====

[17]
{
  "formula": "Ce2NdMgSb4",
  "functional": "PBE",
  "state": "optimized geometry",
  "cell": [[7.6620, 0.0000, 0.0000], [0.0000, 4.4995, 0.0000], [-2.7245, 0.0000, 7.2847]],
  "species": ["Ce", "Ce", "Nd", "Mg", "Sb", "Sb", "Sb", "Sb"],
  "fractional_positions": [[0.0000, 0.0000, 0.0000], [0.0000, 0.5000, 0.5000], [0.5000, 0.0000, 0.5000], [0.5000, 0.5000, 0.0000], [0.2474, 0.5000, 0.2461], [0.2553, 0.0000, 0.7594], [0.7447, 0.0000, 0.2406], [0.7526, 0.5000, 0.7539]],
  "dft_energy_ev_per_atom": -5.174,
  "spacegroup": "P2/m, No. 10"
}

=====

[18]
{
  "formula": "CeNdMgSc",
  "functional": "PBE",
  "state": "optimized geometry",
  "cell": [[7.7135, 0.0000, 0.0000], [0.0000, 7.7135, 0.0000], [0.0000, 0.0000, 7.7135]],
  "species": ["Ce", "Ce", "Ce", "Ce", "Nd", "Nd", "Nd", "Nd", "Mg", "Mg", "Mg", "Mg", "Sc", "Sc", "Sc", "Sc"],
  "fractional_positions": [[0.0000, 0.0000, 0.0000], [0.0000, 0.5000, 0.5000], [0.5000, 0.0000, 0.5000], [0.5000, 0.5000, 0.0000], [0.0000, 0.0000, 0.5000], [0.0000, 0.5000, 0.0000], [0.5000, 0.0000, 0.0000], [0.5000, 0.5000, 0.5000], [0.2500, 0.2500, 0.7500], [0.2500, 0.7500, 0.2500], [0.7500, 0.2500, 0.2500], [0.7500, 0.7500, 0.7500], [0.2500, 0.2500, 0.2500], [0.2500, 0.7500, 0.7500], [0.7500, 0.2500, 0.7500], [0.7500, 0.7500, 0.2500]],
  "spacegroup": "F-43m, No. 216",
  "e_form_ev_per_atom": 0.079
}

=====

[19]
{
  "formula": "CeNdMgSn",
  "functional": "PBE",
  "state": "optimized geometry",
  "cell": [[7.6983, 0.0000, 0.0000], [0.0000, 7.6983, 0.0000], [0.0000, 0.0000, 7.6983]],
  "species": ["Ce", "Ce", "Ce", "Ce", "Nd", "Nd", "Nd", "Nd", "Mg", "Mg", "Mg", "Mg", "Sn", "Sn", "Sn", "Sn"],
  "fractional_positions": [[0.0000, 0.0000, 0.0000], [0.0000, 0.5000, 0.5000], [0.5000, 0.0000, 0.5000], [0.5000, 0.5000, 0.0000], [0.0000, 0.0000, 0.5000], [0.0000, 0.5000, 0.0000], [0.5000, 0.0000, 0.0000], [0.5000, 0.5000, 0.5000], [0.2500, 0.2500, 0.7500], [0.2500, 0.7500, 0.2500], [0.7500, 0.2500, 0.2500], [0.7500, 0.7500, 0.7500], [0.2500, 0.2500, 0.2500], [0.2500, 0.7500, 0.7500], [0.7500, 0.2500, 0.7500], [0.7500, 0.7500, 0.2500]],
  "spacegroup": "F-43m, No. 216",
  "e_form_ev_per_atom": -0.349
}

=====

[20]
{
  "formula": "TbCeNdMg",
  "functional": "PBE",
  "state": "optimized geometry",
  "cell": [[7.8529, 0.0000, 0.0000], [0.0000, 7.8529, 0.0000], [0.0000, 0.0000, 7.8529]],
  "species": ["Tb", "Tb", "Tb", "Tb", "Ce", "Ce", "Ce", "Ce", "Nd", "Nd", "Nd", "Nd", "Mg", "Mg", "Mg", "Mg"],
  "fractional_positions": [[0.0000, 0.0000, 0.0000], [0.0000, 0.5000, 0.5000], [0.5000, 0.0000, 0.5000], [0.5000, 0.5000, 0.0000], [0.2500, 0.2500, 0.7500], [0.2500, 0.7500, 0.2500], [0.7500, 0.2500, 0.2500], [0.7500, 0.7500, 0.7500], [0.0000, 0.0000, 0.5000], [0.0000, 0.5000, 0.0000], [0.5000, 0.0000, 0.0000], [0.5000, 0.5000, 0.5000], [0.2500, 0.2500, 0.2500], [0.2500, 0.7500, 0.7500], [0.7500, 0.2500, 0.7500], [0.7500, 0.7500, 0.2500]],
  "spacegroup": "F-43m, No. 216",
  "e_form_ev_per_atom": 0.142
}